Entry 1:
Entry from Alexandria: a relaxed structure of YNb2Sb (PBE).

```
YNb2Sb
1.0
-4.099 4.099 2.874
4.099 -4.099 2.874
4.099 4.099 -2.874
Y Nb Sb
2 4 2
Cartesian
0.000 0.000 0.000 Y
0.000 4.099 1.437 Y
2.050 -1.697 2.156 Nb
2.402 2.050 0.719 Nb
2.050 5.796 -0.719 Nb
1.697 2.050 3.593 Nb
4.099 0.000 1.437 Sb
0.000 0.000 2.874 Sb
```

Energy relative to the elements, uncorrected   0.42 eV/atom
Relative energy among the computed polymorphs   216 meV per atom
E_tot   -7.257 eV/atom
Crystal system   tetragonal



Entry 2:
Entry from Alexandria: a relaxed structure of Y2NbSb2 (PBE).

```
Y2NbSb2
1.0
7.531 0.000 0.000
0.000 7.531 0.000
0.000 0.000 4.399
Y Nb Sb
4 2 4
Cartesian
1.265 2.500 0.000 Y
2.500 6.266 0.000 Y
5.031 1.265 0.000 Y
6.266 5.031 0.000 Y
0.000 0.000 2.199 Nb
3.766 3.766 2.199 Nb
1.075 4.841 2.199 Sb
2.690 1.075 2.199 Sb
4.841 6.456 2.199 Sb
6.456 2.690 2.199 Sb
```

Energy relative to the elements, uncorrected   -0.63 eV/atom
Relative energy among the computed polymorphs   0 meV per atom
E_tot   -6.874 eV/atom
Crystal system   tetragonal



Entry 3:
Entry from Alexandria: a relaxed structure of YNb2Sb2 (PBE).

```
YNb2Sb2
1.0
-2.632 2.632 4.423
2.632 -2.632 4.423
2.632 2.632 -4.423
Y Nb Sb
1 2 2
Cartesian
0.000 0.000 0.000 Y
0.000 0.000 3.275 Nb
0.000 0.000 5.571 Nb
2.632 0.000 2.212 Sb
0.000 2.632 2.212 Sb
```

Energy relative to the elements, uncorrected   -0.16 eV/atom
Relative energy among the computed polymorphs   197 meV per atom
E_tot   -7.129 eV/atom
Crystal system   tetragonal



Number 3 is which compound? YNb2Sb2



Which formula does entry 2 have? Y2NbSb2



Number 2 is which compound? Y2NbSb2



Look up the E_tot of the third one. -7.129 eV/atom